Entry 1:
A geometry-optimized PmHoZr2 structure. Source: Alexandria via LeMat-Bulk, functional PBE.

```
PmHoZr2
1.0
3.360 0.000 0.000
1.680 2.909 0.000
1.680 0.970 11.020
Ho Zr Pm
1 2 1
direct
0.500 0.500 0.500
0.249 0.249 0.253
0.751 0.751 0.747
0.000 0.000 0.000
```

Output
Formation enthalpy at 0 K = 0.1540 eV per atom
Theoretical density = 7.591 g/cm3
Energy above the most stable polymorph in this dataset = 3 meV per atom
Space group = R-3m (166)

***

Entry 2:
A geometry-optimized Er5Zn2Pd2 structure. Source: Alexandria via LeMat-Bulk, functional PBE.

```
Er5Zn2Pd2
1.0
7.463 0.000 0.000
0.000 7.361 0.000
0.000 -3.681 7.778
Zn Pd Er
4 4 10
direct
0.000 0.213 0.426
0.500 0.287 0.574
0.500 0.713 0.426
0.000 0.787 0.574
0.132 0.629 0.000
0.368 0.129 0.000
0.868 0.371 0.000
0.632 0.871 0.000
0.329 0.958 0.270
0.329 0.688 0.730
0.671 0.042 0.730
0.000 0.000 0.000
0.500 0.500 0.000
0.671 0.312 0.270
0.171 0.188 0.730
0.829 0.542 0.730
0.829 0.812 0.270
0.171 0.458 0.270
```

Output
Formation enthalpy at 0 K = -0.5051 eV per atom
Theoretical density = 9.171 g/cm3
Space group = Cmce (64)

***

Entry 3:
A geometry-optimized Ca3Nd2WN6 structure. Source: Alexandria via LeMat-Bulk, functional PBE.

```
Ca3Nd2WN6
1.0
-1.529 -2.927 5.034
5.710 -0.043 -1.908
-0.345 5.628 1.977
N Nd Ca W
6 2 3 1
direct
0.218 0.218 0.784
0.638 0.927 0.779
0.073 0.362 0.221
0.927 0.638 0.779
0.362 0.073 0.221
0.782 0.782 0.216
0.333 0.667 0.000
0.667 0.333 0.000
0.500 0.500 0.500
0.158 0.842 0.500
0.842 0.158 0.500
0.000 0.000 0.000
```

Output
Theoretical density = 6.365 g/cm3
Formation energy (no corrections) = -1.034 eV per atom
Space group = C2/m (12)

***

Entry 4:
A geometry-optimized SrLi2Hg2 structure. Source: Alexandria via LeMat-Bulk, functional PBE.

```
SrLi2Hg2
1.0
-1.670 1.512 -7.744
-7.830 -1.295 1.436
-0.434 3.484 0.774
Li Hg Sr
4 4 2
direct
0.882 0.618 0.000
0.382 0.882 0.000
0.118 0.382 0.000
0.618 0.118 0.000
0.671 0.829 0.500
0.171 0.671 0.500
0.329 0.171 0.500
0.829 0.329 0.500
0.000 0.000 0.000
0.500 0.500 0.000
```

Output
Formation enthalpy at 0 K = -0.3259 eV per atom
Theoretical density = 7.139 g/cm3
Energy above the most stable polymorph in this dataset = 54 meV per atom
Space group = P4/mbm (127)

***

Entry 5:
A geometry-optimized AcMnNi2H8 structure. Source: Alexandria via LeMat-Bulk, functional PBE.

```
AcMnNi2H8
1.0
4.548 0.000 0.000
2.274 3.939 0.000
2.274 1.313 5.716
H Ac Ni Mn
8 1 2 1
direct
0.292 0.919 0.143
0.081 0.355 0.857
0.199 0.199 0.402
0.708 0.081 0.857
0.645 0.292 0.143
0.355 0.708 0.857
0.801 0.801 0.598
0.919 0.645 0.143
0.500 0.500 0.500
0.295 0.295 0.116
0.705 0.705 0.884
0.000 0.000 0.000
```

Output
Theoretical density = 6.606 g/cm3
Energy = -53.835 eV per formula unit
Space group = R-3 (148)

***

Entry 6:
A geometry-optimized U2BeCo3Ge4 structure. Source: Alexandria via LeMat-Bulk, functional PBE.

```
U2BeCo3Ge4
1.0
4.009 0.000 0.000
0.000 4.009 0.000
0.000 0.000 9.611
Co U Be Ge
3 2 1 4
direct
0.000 0.500 0.131
0.500 0.000 0.869
0.000 0.000 0.500
0.500 0.000 0.252
0.000 0.500 0.748
0.500 0.500 0.500
0.000 0.500 0.370
0.500 0.500 0.000
0.500 0.000 0.630
0.000 0.000 0.000
```

Output
Formation enthalpy at 0 K = -0.3046 eV per atom
Theoretical density = 10.237 g/cm3
Space group = P-4m2 (115)